Crystalline TeRuCI2 at its relaxed geometry, computed with PBE-GGA.

Values from the calculation:
Formation energy without anion corrections (eV/atom): 1.71
DOS(E_F) (states/eV/f.u.): 4.65
Total moment (μB per atom): 0.61
Space-group type: P4/mmm (123)

abc: 5.002 5.002 4.674
angles: 90.00 90.00 90.00
Sites, in units of the cell vectors:
Te  0.000  0.000  0.500
C  0.000  0.000  0.000
I  0.000  0.500  0.000
I  0.500  0.000  0.000
Ru  0.500  0.500  0.500